ScB2Os2: relaxed, GGA-PBEsol.

Formation enthalpy at 0 K = -0.108 eV per atom
DOS at the Fermi energy = 0.584 states/eV per atom
Magnetization = 0.00 Bohr magnetons per cell

CIF file:
```
data_ScB2Os2
_symmetry_space_group_name_H-M 'I 4/m m m'
_symmetry_Int_Tables_number 139
_symmetry_space_group_name_Hall '-I 4 2'
_cell_length_a 3.852
_cell_length_b 3.852
_cell_length_c 8.633
_cell_angle_alpha 90.00
_cell_angle_beta 90.00
_cell_angle_gamma 90.00
loop_
_atom_site_label
_atom_site_fract_x
_atom_site_fract_y
_atom_site_fract_z
Sc1 0.000 0.000 0.000
B1 0.000 0.500 0.250
Os1 0.000 0.000 0.361
```

BOs3Se: relaxed, GGA-PBEsol.

Polymorph energy (0 for the lowest one) = 0 meV per atom
E_form (uncorrected) = 0.8161 eV per atom
DOS at the Fermi energy = 0.995 states/eV per atom
Magnetization = 0.00 Bohr magnetons per cell

CIF file:
```
data_BOs3Se
_symmetry_space_group_name_H-M 'P m -3 m'
_symmetry_Int_Tables_number 221
_symmetry_space_group_name_Hall '-P 4 2 3'
_cell_length_a 4.104
_cell_length_b 4.104
_cell_length_c 4.104
_cell_angle_alpha 90.00
_cell_angle_beta 90.00
_cell_angle_gamma 90.00
loop_
_atom_site_label
_atom_site_fract_x
_atom_site_fract_y
_atom_site_fract_z
B1 0.000 0.000 0.000
Os1 0.000 0.000 0.500
Se1 0.500 0.500 0.500
```